# SrSn3Os (SCAN, single point on PBEsol structure)
# Symmetry: Pm-3m, No. 221
# Energy relative to the elements: 7 kJ/mol of atoms
data_SrSn3Os
_chemical_formula_sum 'Sr1 Sn3 Os1'
_cell_length_a 5.170
_cell_length_b 5.170
_cell_length_c 5.170
_cell_angle_alpha 90.00
_cell_angle_beta 90.00
_cell_angle_gamma 90.00
_space_group_name_H-M_alt 'P 1'
_space_group_IT_number 1
_space_group_name_Hall 'P 1'
loop_
_atom_site_label
_atom_site_fract_x
_atom_site_fract_y
_atom_site_fract_z
Sr1 0.500 0.500 0.500
Os1 0.000 0.000 0.000
Sn1 0.000 0.500 0.000
Sn2 0.000 0.000 0.500
Sn3 0.500 0.000 0.000